This record from Alexandria describes crystalline Cs3In2Br8 at its relaxed geometry. The functional is GGA-PBE.

Its calculated volume is 44.66 Å³/atom. Its symmetry is R-3m. For the spin magnetization, the calculation gives 0.00 μB/f.u. The formation energy without anion corrections comes out at -16.21 eV per formula unit.

```
13
Lattice="8.082 0.000 0.000 4.041 6.999 0.000 4.041 2.333 10.263" Properties=species:S:1:pos:R:3 pbc="T T T"
Br 10.264 5.926 3.186
Br 8.082 2.146 3.186
Br 10.264 3.406 7.076
Br 5.900 3.406 7.076
Br 12.123 6.999 10.000
Br 8.082 7.186 7.076
Br 5.900 5.926 3.186
Br 4.041 2.333 0.263
In 8.082 4.666 2.372
In 8.082 4.666 7.891
Cs 0.000 0.000 0.000
Cs 12.123 6.999 6.404
Cs 4.041 2.333 3.858
```

***

This record from Alexandria describes crystalline Cs2InBr6 at its relaxed geometry. The functional is GGA-PBE.

Its calculated volume is 44.88 Å³/atom. Its symmetry is C2/m. For the spin magnetization, the calculation gives 0.97 μB/f.u. The formation energy without anion corrections comes out at -9.30 eV per formula unit.

```
9
Lattice="6.723 0.000 -0.299 0.000 7.835 0.000 -2.982 -3.917 7.801" Properties=species:S:1:pos:R:3 pbc="T T T"
Br 0.082 1.855 1.891
Br 3.362 6.445 -0.150
Br 3.659 2.062 5.611
Br 3.362 1.390 -0.150
Br 3.659 -2.062 5.611
Br 0.082 5.980 1.891
In 0.000 0.000 0.000
Cs 3.478 3.917 2.439
Cs 0.263 0.000 5.062
```